Entry 1:
# GaAgSe2 PBE optimized geometry
# Space-group type: No. 166
# E_form (uncorrected) in meV/atom: -277
data_GaAgSe2
_cell_length_a 8.074
_cell_length_b 8.074
_cell_length_c 8.074
_cell_angle_alpha 27.54
_cell_angle_beta 27.54
_cell_angle_gamma 27.54
_symmetry_space_group_name_H-M 'P 1'
_symmetry_Int_Tables_number 1
loop_
_symmetry_equiv_pos_as_xyz
'x,y,z'
loop_
_atom_site_label
_atom_site_type_symbol
_atom_site_fract_x
_atom_site_fract_y
_atom_site_fract_z
Ga1 Ga 0.000 0.000 0.000
Ag1 Ag 0.500 0.500 0.500
Se1 Se 0.393 0.393 0.393
Se2 Se 0.607 0.607 0.607

---

Entry 2:
# V2RhSe4 PBE optimized geometry
# ΔE to the lowest computed polymorph in eV per formula unit: 0.000
# Space-group type: No. 87
# E_form (uncorrected) in meV/atom: -312
data_V2RhSe4
_cell_length_a 5.924
_cell_length_b 5.924
_cell_length_c 5.924
_cell_angle_alpha 107.47
_cell_angle_beta 107.47
_cell_angle_gamma 113.56
_symmetry_space_group_name_H-M 'P 1'
_symmetry_Int_Tables_number 1
loop_
_symmetry_equiv_pos_as_xyz
'x,y,z'
loop_
_atom_site_label
_atom_site_type_symbol
_atom_site_fract_x
_atom_site_fract_y
_atom_site_fract_z
V1 V 0.250 0.750 0.500
V2 V 0.750 0.250 0.500
Rh1 Rh 0.000 0.000 0.000
Se1 Se 0.173 0.308 0.481
Se2 Se 0.308 0.827 0.135
Se3 Se 0.692 0.173 0.865
Se4 Se 0.827 0.692 0.519

---

Entry 3:
# La3Be2P4H2 PBE optimized geometry
# Space-group type: No. 139
# Calculated total energy in eV/atom: -5.16
data_La3Be2P4H2
_cell_length_a 12.192
_cell_length_b 12.192
_cell_length_c 12.192
_cell_angle_alpha 160.71
_cell_angle_beta 160.71
_cell_angle_gamma 27.41
_symmetry_space_group_name_H-M 'P 1'
_symmetry_Int_Tables_number 1
loop_
_symmetry_equiv_pos_as_xyz
'x,y,z'
loop_
_atom_site_label
_atom_site_type_symbol
_atom_site_fract_x
_atom_site_fract_y
_atom_site_fract_z
La1 La 0.000 0.000 0.000
La2 La 0.183 0.183 0.000
La3 La 0.817 0.817 0.000
Be1 Be 0.451 0.451 0.000
Be2 Be 0.549 0.549 0.000
P1 P 0.094 0.594 0.500
P2 P 0.406 0.906 0.500
P3 P 0.594 0.094 0.500
P4 P 0.906 0.406 0.500
H1 H 0.288 0.288 0.000
H2 H 0.712 0.712 0.000

---

Entry 4:
# Pm2AlCu16 PBE optimized geometry
# Space-group type: No. 160
# Energy of formation in eV per formula unit: -2.7
data_Pm2AlCu16
_cell_length_a 6.523
_cell_length_b 6.523
_cell_length_c 6.523
_cell_angle_alpha 82.73
_cell_angle_beta 82.73
_cell_angle_gamma 82.73
_symmetry_space_group_name_H-M 'P 1'
_symmetry_Int_Tables_number 1
loop_
_symmetry_equiv_pos_as_xyz
'x,y,z'
loop_
_atom_site_label
_atom_site_type_symbol
_atom_site_fract_x
_atom_site_fract_y
_atom_site_fract_z
Pm1 Pm 0.000 0.000 0.000
Pm2 Pm 0.308 0.308 0.308
Al1 Al 0.746 0.746 0.746
Cu1 Cu 0.146 0.648 0.648
Cu2 Cu 0.303 0.303 0.800
Cu3 Cu 0.303 0.800 0.303
Cu4 Cu 0.353 0.647 0.940
Cu5 Cu 0.353 0.940 0.647
Cu6 Cu 0.496 0.994 0.994
Cu7 Cu 0.550 0.550 0.550
Cu8 Cu 0.647 0.353 0.940
Cu9 Cu 0.647 0.940 0.353
Cu10 Cu 0.648 0.146 0.648
Cu11 Cu 0.648 0.648 0.146
Cu12 Cu 0.800 0.303 0.303
Cu13 Cu 0.940 0.353 0.647
Cu14 Cu 0.940 0.647 0.353
Cu15 Cu 0.994 0.496 0.994
Cu16 Cu 0.994 0.994 0.496

---

DOS at the Fermi energy for the records above, in order: 0.04, 0.45, 0.47, 0.50 states/eV per atom
Spin magnetization for the records above, in order: 0.00, 3.01, 0.46, 0.00 Bohr magnetons per cell